SrBrCl2 | PBE | optimized geometry

Computed properties:
* space-group type: No. 166
* total magnetization: 0.250 μB per atom
* E_form (uncorrected): -1.53 eV/atom
* energy above the lowest structure with this stoichiometry: 106 meV per atom

Unit cell a=4.3601 b=4.3601 c=30.3914 alpha=90.00 beta=90.00 gamma=120.00
With the nearest neighbours (Å) after each atom.
Element x y z (fractional)
Sr1 0.0000 0.0000 0.0000  6 Cl 2.91
Sr2 0.3333 0.6667 0.6667  6 Cl 2.91
Sr3 0.6667 0.3333 0.3333  6 Cl 2.91
Br1 0.0000 0.0000 0.5000  6 Br 4.36, 6 Cl 4.40
Br2 0.3333 0.6667 0.1667  6 Br 4.36, 6 Cl 4.40
Br3 0.6667 0.3333 0.8333  6 Br 4.36, 6 Cl 4.40
Cl1 0.0000 0.0000 0.2856  3 Sr 2.91
Cl2 0.0000 0.0000 0.7144  3 Sr 2.91
Cl3 0.3333 0.6667 0.3811  3 Sr 2.91
Cl4 0.3333 0.6667 0.9522  3 Sr 2.91
Cl5 0.6667 0.3333 0.0478  3 Sr 2.91
Cl6 0.6667 0.3333 0.6189  3 Sr 2.91